[1]
{"formula": "PrPS4Br", "functional": "PBE", "state": "optimized geometry", "lattice_angstrom": [[-1.326, 6.314, 5.078], [3.561, -0.812, 7.353], [5.970, 3.947, -0.462]], "species": ["S", "S", "S", "S", "S", "S", "S", "S", "Br", "Br", "P", "P", "Pr", "Pr"], "fractional_positions": [[0.446, 0.097, 0.167], [0.097, 0.446, 0.167], [0.340, 0.340, 0.549], [0.503, 0.503, 0.851], [0.554, 0.903, 0.833], [0.497, 0.497, 0.149], [0.903, 0.554, 0.833], [0.660, 0.660, 0.451], [0.987, 0.987, 0.259], [0.013, 0.013, 0.741], [0.339, 0.339, 0.273], [0.661, 0.661, 0.727], [0.825, 0.825, 0.072], [0.175, 0.175, 0.928]], "spacegroup": "C2/m, No. 12", "density_g_cm3": 2.99, "raw_formation_energy_ev_per_atom": -0.896}

[2]
{"formula": "Ac4InNi", "functional": "PBE", "state": "optimized geometry", "lattice_angstrom": [[-1.240, -2.670, -4.476], [-4.031, -2.424, 2.564], [-4.893, 5.868, -2.145]], "species": ["Ni", "Ac", "Ac", "Ac", "Ac", "In"], "fractional_positions": [[0.500, 0.500, 0.500], [0.000, 0.500, 0.726], [0.000, 0.500, 0.274], [0.500, 0.000, 0.274], [0.500, 0.000, 0.726], [0.000, 0.000, 0.000]], "spacegroup": "P4/mmm, No. 123", "relative_energy_mev_per_atom": 204.4, "density_g_cm3": 7.89, "formation_enthalpy_0k_ev_per_atom": -0.034}